## Sr2UNiS5 (PBE-GGA)

Data for Sr2UNiS5 after structural relaxation.

Calculated values
* total energy: -6.0612 eV/atom

```
data_Sr2UNiS5
_chemical_formula_sum 'Sr8 U4 Ni4 S20'
_space_group_name_H-M_alt 'C m c 21'
_space_group_IT_number 36
_space_group_name_Hall 'C 2c -2'
_cell_length_a 3.947
_cell_length_b 17.128
_cell_length_c 12.427
_cell_angle_alpha 90.00
_cell_angle_beta 90.00
_cell_angle_gamma 90.00
loop_
_atom_site_label
_atom_site_type_symbol
_atom_site_fract_x
_atom_site_fract_y
_atom_site_fract_z
Sr1 Sr 0.000 0.112 0.000
Sr2 Sr 0.000 0.115 0.354
U1 U 0.000 0.194 0.680
Ni1 Ni 0.000 0.430 0.084
S1 S 0.000 0.045 0.666
S2 S 0.000 0.302 0.036
S3 S 0.000 0.302 0.327
S4 S 0.000 0.347 0.677
S5 S 0.000 0.498 0.928
```